Here is an optimized crystal structure of MnBeRu2 from Alexandria. Energies are from PBE.

Properties
total moment	1.7	μB/f.u.
D(E_F)	3.17	states/eV/cell
ΔE_f	-0.4	kJ/mol of atoms

a b c (Å): 2.688 3.692 4.946
angles (deg): 90.00 90.00 90.00
Atoms (fractional coordinates):
Mn 0.000 0.000 0.000
Be 0.500 0.500 0.765
Ru 0.000 0.000 0.536
Ru 0.500 0.500 0.258